1.
Density functional theory data (PBE) for a geometry-optimized TaCoRu3 structure.

## Properties
* space group: No. 221
* energy of formation from the pure elements: 188.82 kJ per mole of atoms
* calculated volume: 101.5 Å³ per cell
* magnetic moment: 2.50 μB per formula unit

Lattice parameters (Å, degrees): 4.6648 4.6648 4.6648 90.00 90.00 90.00
With the nearest neighbours (Å) after each atom.
Element x y z (fractional)
Ru1 0.0000 0.5000 0.0000  2 Ta 2.33
Ta1 0.0000 0.0000 0.0000  6 Ru 2.33
Ru2 0.0000 0.0000 0.5000  2 Ta 2.33
Co1 0.5000 0.5000 0.5000  12 Ru 3.30
Ru3 0.5000 0.0000 0.0000  2 Ta 2.33


2.
Density functional theory data (PBE) for a geometry-optimized La2Ce2Ga3 structure.

## Properties
* space group: No. 12
* energy of formation from the pure elements: -36.57 kJ per mole of atoms
* calculated volume: 189.1 Å³ per cell
* magnetic moment: 2.03 μB per formula unit

Lattice parameters (Å, degrees): 4.3250 7.2290 7.1469 116.14 90.00 107.41
With the nearest neighbours (Å) after each atom.
Element x y z (fractional)
La1 0.8823 0.7647 0.1937  1 Ce 3.14, 6 Ga 3.18-3.36
Ga1 0.4209 0.8419 0.5484  1 Ga 2.58
Ce1 0.1696 0.3391 0.2831  5 Ga 3.01-3.14, 1 La 3.14
Ga2 0.5791 0.1581 0.4516  1 Ga 2.58
Ce2 0.8304 0.6609 0.7169  5 Ga 3.01-3.14, 1 La 3.14
Ga3 0.5000 0.0000 0.0000  2 Ga 2.89, 4 Ce 3.14
La2 0.1177 0.2353 0.8063  1 Ce 3.14, 6 Ga 3.18-3.36